Nd2MnOsO8: optimized geometry, PBE with a Hubbard U.

- space group = No. 2
- total magnetization (μB per formula unit) = 5.0
- crystal system = triclinic
- E_tot (eV per atom) = -7.705

abc: 4.5833 5.1348 7.0117
angles: 93.04 91.05 95.11
Last column: nearest neighbours and their distance in Å.
Positions (direct):
Nd: 0.1152 0.0065 0.2511  5 O 2.30-2.45
Nd: 0.8848 0.9935 0.7489  5 O 2.30-2.45
Mn: 0.5000 0.5000 0.0000  4 O 1.89-2.01
Os: 0.5000 0.5000 0.5000  6 O 1.84-1.98
O: 0.1698 0.2831 0.5418  1 Os 1.84
O: 0.2216 0.2046 0.9715  1 Mn 1.89
O: 0.3336 0.5971 0.2542  1 Os 1.98, 1 Mn 2.01
O: 0.3574 0.7852 0.6477  1 Os 1.92
O: 0.6426 0.2148 0.3523  1 Os 1.92
O: 0.6664 0.4029 0.7458  1 Os 1.98, 1 Mn 2.01
O: 0.7784 0.7954 0.0285  1 Mn 1.89
O: 0.8302 0.7169 0.4582  1 Os 1.84